1.
Computed, not measured: PIrI2N after structural relaxation at the PBE-GGA level of DFT.

abc: 5.5829 5.5829 3.6945
angles: 90.00 90.00 90.00
Space group P4/mmm (No. 123)
Asymmetric unit:
P  0.0000  0.0000  0.0000
Ir  0.5000  0.5000  0.5000
I  0.0000  0.5000  0.5000
N  0.5000  0.5000  0.0000

***

2.
Computed, not measured: PIrI2N after structural relaxation at the PBE-GGA level of DFT.

abc: 5.4428 5.4428 3.2725
angles: 90.00 90.00 90.00
Space group P4/mmm (No. 123)
Asymmetric unit:
P  0.0000  0.0000  0.0000
Ir  0.5000  0.5000  0.5000
I  0.0000  0.5000  0.0000
N  0.0000  0.0000  0.5000

***

3.
Computed, not measured: IrPbIN2 after structural relaxation at the PBE-GGA level of DFT.

abc: 4.0339 4.0339 8.1220
angles: 90.00 90.00 90.00
Space group P4/mmm (No. 123)
Asymmetric unit:
Ir  0.0000  0.0000  0.0000
Pb  0.5000  0.5000  0.5000
I  0.0000  0.0000  0.5000
N  0.0000  0.5000  0.0000

***

Energy relative to the elements, uncorrected, record by record: 826 1147 1193 meV/atom
Energy above the lowest structure with this stoichiometry, record by record: 0 321 0 meV/atom